DFT (SCAN) results for CaRe2Pb at its PBEsol-relaxed geometry.

Structure (extended XYZ):
```
4
Lattice="4.0073 0.0000 0.0000 0.0000 4.0073 0.0000 0.0000 0.0000 4.6050" Properties=species:S:1:pos:R:3 pbc="T T T"
Ca 0.0000 0.0000 0.0000
Re 0.0000 2.0037 2.3025
Re 2.0037 0.0000 2.3025
Pb 2.0037 2.0037 0.0000
```

Values from the calculation:
As for the energy of formation: 0.93 eV/atom. The density of states at the Fermi level is 3.32 states/eV/cell. The calculated total energy is -55.98 eV per atom.